#A
Here is a relaxed LiCrC2O6 crystal from Alexandria via LeMat-Bulk. Energies are from PBE with a Hubbard U.

Computed properties:
**Symmetry**: P2_1, No. 4
**Calculated density**: 2.52 g cm⁻³

Cell and atoms, written as POSCAR:
```
LiCrC2O6
1.0
-0.530 4.888 -0.634
-4.995 1.829 -4.122
-4.922 0.255 6.077
Li Cr C O
2 2 4 12
Direct
0.739 0.607 0.048
0.761 0.893 0.548
0.509 0.492 0.504
0.991 0.008 0.004
0.725 0.143 0.263
0.775 0.357 0.763
0.208 0.652 0.247
0.292 0.848 0.747
0.593 0.120 0.128
0.907 0.380 0.628
0.596 0.190 0.412
0.904 0.310 0.912
0.496 0.394 0.744
0.004 0.106 0.244
0.089 0.636 0.391
0.411 0.864 0.891
0.056 0.710 0.107
0.444 0.790 0.607
0.006 0.901 0.752
0.494 0.599 0.252
```

***

#B
Here is a relaxed LiCrC2O6 crystal from Alexandria via LeMat-Bulk. Energies are from PBE with a Hubbard U.

Computed properties:
**Symmetry**: R-3, No. 148
**Calculated density**: 3.11 g cm⁻³

Cell and atoms, written as POSCAR:
```
LiCrC2O6
1.0
-2.824 -3.305 1.697
13.122 -15.540 -2.018
3.010 2.174 2.826
Li Cr C O
4 4 8 24
Direct
0.000 0.000 0.000
0.500 0.250 0.250
0.000 0.500 0.500
0.500 0.750 0.750
0.250 0.625 0.125
0.750 0.875 0.375
0.250 0.125 0.625
0.750 0.375 0.875
0.878 0.183 0.939
0.378 0.433 0.189
0.878 0.683 0.439
0.378 0.933 0.689
0.622 0.067 0.311
0.122 0.317 0.561
0.622 0.567 0.811
0.122 0.817 0.061
0.907 0.067 0.327
0.407 0.317 0.577
0.907 0.567 0.827
0.407 0.817 0.077
0.148 0.183 0.224
0.648 0.433 0.474
0.148 0.683 0.724
0.648 0.933 0.974
0.893 0.183 0.669
0.393 0.433 0.919
0.893 0.683 0.169
0.393 0.933 0.419
0.607 0.067 0.581
0.107 0.317 0.831
0.607 0.567 0.081
0.107 0.817 0.331
0.352 0.067 0.026
0.852 0.317 0.276
0.352 0.567 0.526
0.852 0.817 0.776
0.593 0.183 0.923
0.093 0.433 0.173
0.593 0.683 0.423
0.093 0.933 0.673
```

***

It is #B that is the most stable of them.